(1)
The following is a DFT calculation (PBE) of a relaxed SrIrNCl2 crystal. Values from VASP.

Quantum ESPRESSO input file:
```
&SYSTEM
  ibrav = 0, nat = 5, ntyp = 4
/
ATOMIC_SPECIES
Sr 87.62 Sr.upf
Ir 192.22 Ir.upf
N 14.01 N.upf
Cl 35.45 Cl.upf
CELL_PARAMETERS angstrom
5.240 0.000 0.000
0.000 5.240 0.000
0.000 0.000 3.759
ATOMIC_POSITIONS crystal
Sr 0.000 0.000 0.000
Ir 0.500 0.500 0.500
N 0.500 0.500 0.000
Cl 0.000 0.500 0.500
Cl 0.500 0.000 0.500
```

Total magnetic moment: 0.00 Bohr magnetons per cell
DFT total energy: -5.119 eV/atom
Crystal system: tetragonal
E_form (uncorrected): -607 meV per atom

=====

(2)
The following is a DFT calculation (PBE) of a relaxed Sr2IrNCl crystal. Values from VASP.

Quantum ESPRESSO input file:
```
&SYSTEM
  ibrav = 0, nat = 5, ntyp = 4
/
ATOMIC_SPECIES
Sr 87.62 Sr.upf
Ir 192.22 Ir.upf
N 14.01 N.upf
Cl 35.45 Cl.upf
CELL_PARAMETERS angstrom
5.456 0.000 0.000
0.000 5.456 0.000
0.000 0.000 3.811
ATOMIC_POSITIONS crystal
Sr 0.000 0.500 0.000
Sr 0.500 0.000 0.000
Ir 0.000 0.000 0.500
N 0.000 0.000 0.000
Cl 0.500 0.500 0.500
```

Total magnetic moment: 0.00 Bohr magnetons per cell
DFT total energy: -5.551 eV/atom
Crystal system: tetragonal
E_form (uncorrected): -1072 meV per atom

=====

(3)
The following is a DFT calculation (PBE) of a relaxed TlIr2NCl crystal. Values from VASP.

Quantum ESPRESSO input file:
```
&SYSTEM
  ibrav = 0, nat = 5, ntyp = 4
/
ATOMIC_SPECIES
Tl 204.38 Tl.upf
Ir 192.22 Ir.upf
N 14.01 N.upf
Cl 35.45 Cl.upf
CELL_PARAMETERS angstrom
5.225 0.000 0.000
0.000 5.225 0.000
0.000 0.000 4.174
ATOMIC_POSITIONS crystal
Tl 0.000 0.000 0.000
Ir 0.000 0.500 0.000
Ir 0.500 0.000 0.000
N 0.000 0.000 0.500
Cl 0.500 0.500 0.500
```

Total magnetic moment: 3.76 Bohr magnetons per cell
DFT total energy: -3.509 eV/atom
Crystal system: tetragonal
E_form (uncorrected): 2543 meV per atom

=====

(4)
The following is a DFT calculation (PBE) of a relaxed Zr2IrNCl crystal. Values from VASP.

Quantum ESPRESSO input file:
```
&SYSTEM
  ibrav = 0, nat = 5, ntyp = 4
/
ATOMIC_SPECIES
Zr 91.22 Zr.upf
Ir 192.22 Ir.upf
N 14.01 N.upf
Cl 35.45 Cl.upf
CELL_PARAMETERS angstrom
5.053 0.000 0.000
0.000 5.053 0.000
0.000 0.000 4.569
ATOMIC_POSITIONS crystal
Zr 0.000 0.500 0.000
Zr 0.500 0.000 0.000
Ir 0.000 0.000 0.000
N 0.500 0.500 0.500
Cl 0.000 0.000 0.500
```

Total magnetic moment: 0.00 Bohr magnetons per cell
DFT total energy: -6.035 eV/atom
Crystal system: tetragonal
E_form (uncorrected): 1191 meV per atom